# 1
16
Lattice="-0.430 -1.170 4.176 -5.305 -3.149 -1.428 3.666 -5.632 -1.200" Properties=species:S:1:pos:R:3 comment="YF3, optimized geometry, DFT GGA-PBEsol" raw_formation_energy_ev_per_atom=-4.184 m_tot_mub_per_atom=0.000 energy_ev_per_atom=-7.335 pbc="T T T"
Y 0.390 -6.483 2.491
Y 0.032 -2.334 1.342
Y -2.459 -3.468 -0.943
Y -2.101 -7.617 0.205
F -0.198 -6.349 0.069
F -4.662 -5.552 2.107
F -1.871 -3.601 1.478
F 2.593 -4.399 -0.560
F 2.293 -6.523 1.237
F -1.599 -1.553 -0.046
F -2.992 -5.533 -0.138
F -1.840 -6.292 2.042
F -4.362 -3.428 0.311
F -0.470 -8.397 1.593
F 0.923 -4.418 1.685
F -0.229 -3.659 -0.494

# 2
18
Lattice="6.712 0.000 0.000 0.000 9.722 0.000 0.000 -4.861 8.420" Properties=species:S:1:pos:R:3 comment="La5ZnPb3, optimized geometry, DFT GGA-PBEsol" formation_energy_ev_per_atom=-0.544 m_tot_mub_per_atom=0.000 energy_ev_per_atom=-5.023 pbc="T T T"
La 1.678 1.332 2.307
La 1.678 -3.529 6.113
La 1.678 7.059 0.000
La 5.034 3.529 6.113
La 5.034 -1.332 2.307
La 5.034 2.663 0.000
La 0.000 4.861 2.807
La 0.000 0.000 5.613
La 3.356 0.000 5.613
La 3.356 4.861 2.807
Zn 0.000 0.000 0.000
Zn 3.356 0.000 0.000
Pb 1.678 3.048 5.279
Pb 1.678 -1.813 3.141
Pb 1.678 3.626 0.000
Pb 5.034 1.813 3.141
Pb 5.034 -3.048 5.279
Pb 5.034 6.096 0.000

# 3
5
Lattice="3.513 0.000 0.000 0.000 4.012 0.000 0.000 0.000 4.012" Properties=species:S:1:pos:R:3 comment="PRuO2F, optimized geometry, DFT GGA-PBEsol" raw_formation_energy_ev_per_atom=1.004 m_tot_mub_per_atom=0.717 energy_ev_per_atom=-4.674 pbc="T T T"
Ru 1.756 2.006 2.006
F 0.000 0.000 0.000
O 0.000 0.000 2.006
O 0.000 2.006 0.000
P 1.756 0.000 0.000

# 4
8
Lattice="-4.826 2.221 0.997 -0.546 -3.327 4.772 2.502 5.266 0.381" Properties=species:S:1:pos:R:3 comment="ErAs3, optimized geometry, DFT GGA-PBEsol" formation_energy_ev_per_atom=-0.530 m_tot_mub_per_atom=0.000 energy_ev_per_atom=-5.591 pbc="T T T"
As 0.498 2.742 3.632
As -0.411 1.840 1.236
As 0.752 4.289 1.413
As -3.368 1.418 2.518
As -2.458 2.319 4.913
As -3.621 -0.129 4.736
Er -2.133 4.067 2.592
Er -0.736 0.092 3.557

# 5
5
Lattice="-0.690 -3.566 2.774 3.543 -2.169 -1.906 3.020 2.006 3.331" Properties=species:S:1:pos:R:3 comment="CrCoSe2Br, optimized geometry, DFT GGA-PBEsol" raw_formation_energy_ev_per_atom=0.448 m_tot_mub_per_atom=0.545 energy_ev_per_atom=-5.062 pbc="T T T"
Cr 2.936 -1.864 2.099
Co 0.000 0.000 0.000
Se 1.771 -1.084 -0.953
Se -0.345 -1.783 1.387
Br 1.510 1.003 1.665

# 6
4
Lattice="4.652 0.000 0.000 2.326 4.029 0.000 2.326 1.343 3.798" Properties=species:S:1:pos:R:3 comment="MnCuSn2, optimized geometry, DFT GGA-PBEsol" formation_energy_ev_per_atom=0.330 m_tot_mub_per_atom=0.845 energy_ev_per_atom=-5.323 pbc="T T T"
Mn 0.000 0.000 0.000
Sn 2.326 1.343 0.950
Sn 6.978 4.029 2.849
Cu 4.652 2.686 1.899

# 7
3
Lattice="3.292 0.000 0.000 0.000 3.265 0.000 -1.646 -1.632 7.828" Properties=species:S:1:pos:R:3 comment="KZrHg, optimized geometry, DFT GGA-PBEsol" formation_energy_ev_per_atom=0.265 m_tot_mub_per_atom=0.000 energy_ev_per_atom=-3.332 pbc="T T T"
Hg 1.646 1.632 7.526
K 1.646 1.632 2.390
Zr 0.000 0.000 5.740

# 8
4
Lattice="5.475 0.000 0.000 2.737 4.741 0.000 2.737 1.580 4.470" Properties=species:S:1:pos:R:3 comment="LaYBr2, optimized geometry, DFT GGA-PBEsol" raw_formation_energy_ev_per_atom=-0.352 m_tot_mub_per_atom=0.945 polymorph_energy_mev_per_atom=832 energy_ev_per_atom=-4.329 pbc="T T T"
Y 8.212 4.741 3.353
Br 0.000 0.000 0.000
Br 2.737 1.580 1.118
La 5.475 3.161 2.235

# 9
5
Lattice="-0.406 -2.482 3.230 4.702 -1.896 -0.865 2.020 3.624 3.038" Properties=species:S:1:pos:R:3 comment="CrP2PbO, optimized geometry, DFT GGA-PBEsol" raw_formation_energy_ev_per_atom=1.096 m_tot_mub_per_atom=0.567 energy_ev_per_atom=-5.119 pbc="T T T"
Pb 0.000 0.000 0.000
Cr 3.158 -0.376 2.702
O -0.203 -1.241 1.615
P 1.010 1.812 1.519
P 2.351 -0.948 -0.433

# 10
4
Lattice="4.070 0.000 0.000 0.000 4.070 0.000 -2.035 -2.035 4.461" Properties=species:S:1:pos:R:3 comment="Zr2MoAu, optimized geometry, DFT GGA-PBEsol" formation_energy_ev_per_atom=-0.124 m_tot_mub_per_atom=0.000 polymorph_energy_mev_per_atom=172 energy_ev_per_atom=-8.592 pbc="T T T"
Au 2.035 2.035 0.000
Mo 0.000 2.035 2.230
Zr 0.000 0.000 0.000
Zr 2.035 0.000 2.230

# 11
3
Lattice="-2.118 -1.488 -1.882 3.069 -0.907 -0.016 -1.185 -4.086 4.563" Properties=species:S:1:pos:R:3 comment="LiZrRu, optimized geometry, DFT GGA-PBEsol" formation_energy_ev_per_atom=0.200 m_tot_mub_per_atom=0.000 energy_ev_per_atom=-6.876 pbc="T T T"
Li -1.143 -3.941 4.402
Ru 0.563 -3.779 2.354
Zr -0.839 -2.847 0.474

# 12
4
Lattice="-4.719 -1.483 -2.311 -3.391 -3.369 2.638 -4.724 1.885 1.986" Properties=species:S:1:pos:R:3 comment="SnBi2Pb, optimized geometry, DFT GGA-PBEsol" formation_energy_ev_per_atom=0.058 m_tot_mub_per_atom=0.000 energy_ev_per_atom=-4.149 pbc="T T T"
Pb -6.417 -1.484 1.156
Bi -3.209 -0.742 0.578
Bi -9.626 -2.225 1.734
Sn 0.000 0.000 0.000

# 13
3
Lattice="-1.191 4.521 -1.092 -4.596 1.150 -0.781 -2.376 2.694 3.187" Properties=species:S:1:pos:R:3 comment="MgTeAs, optimized geometry, DFT GGA-PBEsol" raw_formation_energy_ev_per_atom=0.089 m_tot_mub_per_atom=0.000 energy_ev_per_atom=-3.361 pbc="T T T"
As -2.041 2.091 0.328
Te -4.081 4.183 0.656
Mg 0.000 0.000 0.000

# 14
3
Lattice="-0.396 -3.332 -3.213 3.011 -0.191 -3.532 3.136 -3.421 -0.197" Properties=species:S:1:pos:R:3 comment="TlInW, optimized geometry, DFT GGA-PBEsol" formation_energy_ev_per_atom=1.541 m_tot_mub_per_atom=0.723 energy_ev_per_atom=-4.933 pbc="T T T"
In 1.438 -1.736 -1.735
Tl 0.000 0.000 0.000
W 2.876 -3.472 -3.471

# 15
4
Lattice="3.496 0.000 0.000 0.000 5.271 0.000 0.000 0.000 5.271" Properties=species:S:1:pos:R:3 comment="KLaBe2, optimized geometry, DFT GGA-PBEsol" formation_energy_ev_per_atom=0.777 m_tot_mub_per_atom=0.000 energy_ev_per_atom=-2.843 pbc="T T T"
Be 0.000 0.000 2.636
Be 0.000 2.636 0.000
K 1.748 2.636 2.636
La 1.748 0.000 0.000

# 16
6
Lattice="4.323 0.000 0.000 -2.162 3.744 0.000 0.000 0.000 9.435" Properties=species:S:1:pos:R:3 comment="Sr2AlGa3, optimized geometry, DFT GGA-PBEsol" formation_energy_ev_per_atom=-0.448 m_tot_mub_per_atom=0.000 energy_ev_per_atom=-3.414 pbc="T T T"
Sr 0.000 2.496 2.343
Sr 0.000 2.496 7.092
Al 0.000 0.000 4.718
Ga 0.000 0.000 0.000
Ga 2.162 1.248 4.718
Ga 2.162 1.248 0.000

# 17
4
Lattice="-2.499 2.796 -0.077 -1.916 -1.786 -2.685 0.184 -2.242 3.980" Properties=species:S:1:pos:R:3 comment="MnTc2Ru, optimized geometry, DFT GGA-PBEsol" formation_energy_ev_per_atom=0.095 m_tot_mub_per_atom=0.267 polymorph_energy_mev_per_atom=9 energy_ev_per_atom=-10.521 pbc="T T T"
Mn -2.207 0.505 -1.381
Ru -1.970 -1.761 -0.043
Tc 0.000 0.000 0.000
Tc -2.261 0.530 1.261

# 18
5
Lattice="-1.724 -4.134 -0.898 4.091 -1.381 -1.493 1.194 -1.512 4.670" Properties=species:S:1:pos:R:3 comment="NbGe2PtRh, optimized geometry, DFT GGA-PBEsol" formation_energy_ev_per_atom=1.033 m_tot_mub_per_atom=0.108 energy_ev_per_atom=-6.127 pbc="T T T"
Nb 0.597 -0.756 2.335
Rh 1.781 -3.514 1.139
Ge 2.045 -0.691 -0.747
Ge -0.862 -2.067 -0.449
Pt 0.000 0.000 0.000

# 19
4
Lattice="-3.443 -0.024 2.406 0.076 -4.200 0.066 4.065 2.208 2.172" Properties=species:S:1:pos:R:3 comment="Mg2AlZn, optimized geometry, DFT GGA-PBEsol" formation_energy_ev_per_atom=0.012 m_tot_mub_per_atom=0.000 energy_ev_per_atom=-2.265 pbc="T T T"
Mg 0.000 0.000 0.000
Mg -0.531 0.036 2.908
Zn -1.684 -2.112 1.236
Al 1.228 -2.052 1.737

# 20
5
Lattice="3.947 0.000 0.000 0.000 3.947 0.000 -1.973 -1.973 5.389" Properties=species:S:1:pos:R:3 comment="NdMn2Ge2, optimized geometry, DFT GGA-PBEsol" formation_energy_ev_per_atom=-0.462 m_tot_mub_per_atom=0.764 energy_ev_per_atom=-7.375 pbc="T T T"
Ge 0.000 0.000 4.060
Ge 1.973 1.973 1.329
Mn 0.000 1.973 2.694
Mn 1.973 0.000 2.694
Nd 0.000 0.000 0.000

# 21
4
Lattice="4.077 0.000 0.000 -2.038 4.231 0.012 0.000 -1.975 3.567" Properties=species:S:1:pos:R:3 comment="Sc2BeP, optimized geometry, DFT GGA-PBEsol" formation_energy_ev_per_atom=-0.497 m_tot_mub_per_atom=0.000 polymorph_energy_mev_per_atom=390 energy_ev_per_atom=-6.247 pbc="T T T"
Sc 2.038 1.622 0.898
Sc 0.000 0.635 2.681
P 0.000 0.000 0.000
Be 2.038 -0.987 1.783

# 22
15
Lattice="-4.304 4.739 -0.308 -1.457 -1.151 6.134 4.633 4.091 1.693" Properties=species:S:1:pos:R:3 comment="LiMo6S8, optimized geometry, DFT GGA-PBEsol" raw_formation_energy_ev_per_atom=-0.847 m_tot_mub_per_atom=0.000 polymorph_energy_mev_per_atom=4 energy_ev_per_atom=-8.023 pbc="T T T"
Li 0.000 0.000 0.000
Mo 0.438 5.500 3.893
Mo -2.166 4.870 4.145
Mo -0.329 3.639 5.678
Mo -1.566 2.179 3.626
Mo 1.038 2.808 3.373
Mo -0.798 4.040 1.840
S -0.878 5.977 5.852
S -0.250 1.702 1.667
S -2.691 3.000 5.584
S 1.988 4.097 5.166
S -1.269 6.330 2.397
S 1.563 4.678 1.935
S -3.116 3.582 2.353
S 0.141 1.349 5.122

# 23
5
Lattice="4.827 0.000 0.000 0.000 4.827 0.000 0.000 0.000 4.827" Properties=species:S:1:pos:R:3 comment="TaWSe3, optimized geometry, DFT GGA-PBEsol" raw_formation_energy_ev_per_atom=1.025 m_tot_mub_per_atom=0.646 polymorph_energy_mev_per_atom=0 energy_ev_per_atom=-6.557 pbc="T T T"
Se 0.000 2.414 0.000
Se 0.000 0.000 2.414
Se 2.414 0.000 0.000
W 0.000 0.000 0.000
Ta 2.414 2.414 2.414

# 24
4
Lattice="4.221 0.000 0.000 -2.110 4.424 -0.017 0.000 -2.120 5.735" Properties=species:S:1:pos:R:3 comment="SrIn2Si, optimized geometry, DFT GGA-PBEsol" raw_formation_energy_ev_per_atom=-0.175 m_tot_mub_per_atom=0.000 energy_ev_per_atom=-3.564 pbc="T T T"
In 0.000 -0.063 0.417
In 2.110 1.748 1.662
Si 0.000 3.471 2.282
Sr 0.000 0.512 4.207

# 25
3
Lattice="3.628 0.000 0.000 0.000 3.628 0.000 -1.814 -1.814 6.184" Properties=species:S:1:pos:R:3 comment="BaBePb, optimized geometry, DFT GGA-PBEsol" formation_energy_ev_per_atom=0.206 m_tot_mub_per_atom=0.000 energy_ev_per_atom=-3.176 pbc="T T T"
Pb 1.814 1.814 2.553
Be 0.000 0.000 3.737
Ba 1.814 1.814 6.078

# 26
4
Lattice="6.238 0.000 0.000 3.119 5.402 0.000 3.119 1.801 5.093" Properties=species:S:1:pos:R:3 comment="KCa2La, optimized geometry, DFT GGA-PBEsol" formation_energy_ev_per_atom=0.356 m_tot_mub_per_atom=0.004 polymorph_energy_mev_per_atom=35 energy_ev_per_atom=-2.330 pbc="T T T"
Ca 3.119 1.801 1.273
Ca 9.356 5.402 3.820
K 0.000 0.000 0.000
La 6.238 3.601 2.546

# 27
4
Lattice="2.809 0.000 0.000 1.405 2.433 0.000 1.405 0.811 9.468" Properties=species:S:1:pos:R:3 comment="TaCdF2, optimized geometry, DFT GGA-PBEsol" raw_formation_energy_ev_per_atom=-1.459 m_tot_mub_per_atom=0.000 energy_ev_per_atom=-5.860 pbc="T T T"
F 4.214 2.433 3.202
F 1.405 0.811 6.266
Cd 0.000 0.000 0.000
Ta 2.809 1.622 4.734

# 28
4
Lattice="3.531 0.000 0.000 0.000 3.531 0.000 0.000 0.000 6.731" Properties=species:S:1:pos:R:3 comment="SrAs2Pt, optimized geometry, DFT GGA-PBEsol" formation_energy_ev_per_atom=-0.363 m_tot_mub_per_atom=0.000 energy_ev_per_atom=-5.117 pbc="T T T"
Sr 1.765 1.765 5.083
As 0.000 0.000 0.293
As 1.765 1.765 1.904
Pt 0.000 0.000 2.816